Er4InHg2Pt | PBE | relaxed

a b c (Å): 8.880 8.880 8.880
angles (deg): 33.78 33.78 33.78
Fractional positions:
Er1 0.116 0.116 0.116
Er2 0.368 0.368 0.368
Er3 0.632 0.632 0.632
Er4 0.884 0.884 0.884
In1 0.500 0.500 0.500
Hg1 0.242 0.242 0.242
Hg2 0.758 0.758 0.758
Pt1 0.000 0.000 0.000

Output
Its density is 11.88 g cm⁻³. As for the total energy: -33.05 eV per cell.

Hg2H2Pd3 | PBE | relaxed

a b c (Å): 6.297 6.297 5.683
angles (deg): 103.64 103.64 28.79
Fractional positions:
Hg1 0.137 0.137 0.277
Hg2 0.863 0.863 0.723
H1 0.396 0.396 0.215
H2 0.604 0.604 0.785
Pd1 0.178 0.178 0.811
Pd2 0.500 0.500 0.500
Pd3 0.822 0.822 0.189

Output
Its density is 11.40 g cm⁻³. As for the total energy: -23.69 eV per cell.

Ac11In9Rh4 | PBE | relaxed

a b c (Å): 14.036 14.036 4.060
angles (deg): 90.00 90.00 112.50
Fractional positions:
Ac1 0.000 0.000 0.000
Ac2 0.078 0.418 0.000
Ac3 0.163 0.837 0.000
Ac4 0.314 0.314 0.000
Ac5 0.376 0.624 0.000
Ac6 0.418 0.078 0.000
Ac7 0.582 0.922 0.000
Ac8 0.624 0.376 0.000
Ac9 0.686 0.686 0.000
Ac10 0.837 0.163 0.000
Ac11 0.922 0.582 0.000
In1 0.083 0.220 0.500
In2 0.166 0.634 0.500
In3 0.220 0.083 0.500
In4 0.366 0.834 0.500
In5 0.500 0.500 0.500
In6 0.634 0.166 0.500
In7 0.780 0.917 0.500
In8 0.834 0.366 0.500
In9 0.917 0.780 0.500
Rh1 0.242 0.446 0.500
Rh2 0.446 0.242 0.500
Rh3 0.554 0.758 0.500
Rh4 0.758 0.554 0.500

Output
Its density is 8.86 g cm⁻³. As for the total energy: -112.60 eV per cell.